(1)
DFT (PBE) results for a relaxed CsCrSe2 crystal.

DFT total energy in eV/atom: -5.0872
ΔE_f (raw) in meV/atom: -725.7

Lattice parameters (Å, degrees): 6.6284 7.1893 11.2083 90.00 90.00 90.00
Positions (direct):
1 Cs 0.0299 0.4237 0.1271
2 Se 0.5642 0.6635 0.2017
3 Cr 0.9992 0.0260 0.8729
4 Se 0.1565 0.4360 0.4428
5 Cr 0.4992 0.4740 0.3729
6 Se 0.6565 0.5640 0.5572
7 Cs 0.5299 0.5763 0.8729
8 Cs 0.0299 0.9237 0.3729
9 Se 0.0642 0.3365 0.7983
10 Cr 0.4992 0.9740 0.1271
11 Cr 0.9992 0.5260 0.6271
12 Se 0.6565 0.0640 0.9428
13 Se 0.0642 0.8365 0.7017
14 Se 0.5642 0.1635 0.2983
15 Se 0.1565 0.9360 0.0572
16 Cs 0.5299 0.0763 0.6271



(2)
DFT (PBE) results for a relaxed Cs3Cr20Se32 crystal.

DFT total energy in eV/atom: -6.2068
ΔE_f (raw) in meV/atom: -633.5

Lattice parameters (Å, degrees): 11.0310 11.6541 11.8028 68.77 81.92 62.63
Positions (direct):
1 Cr 0.0878 0.8216 0.0133
2 Cr 0.8398 0.0706 0.7631
3 Se 0.3200 0.3577 0.9789
4 Cr 0.8748 0.6252 0.8748
5 Cr 0.1252 0.3748 0.1252
6 Se 0.0958 0.8820 0.7740
7 Cr 0.5422 0.6379 0.8778
8 Se 0.7327 0.6165 0.7296
9 Cr 0.1602 0.9294 0.2369
10 Cr 0.0424 0.1412 0.3784
11 Se 0.2320 0.1169 0.2304
12 Se 0.0944 0.7494 0.2401
13 Se 0.8171 0.8590 0.4745
14 Se 0.9056 0.2506 0.7599
15 Se 0.4045 0.6157 0.7258
16 Cr 0.6251 0.8748 0.6251
17 Se 0.5660 0.1121 0.2250
18 Cr 0.9122 0.1784 0.9867
19 Se 0.0176 0.6331 0.0197
20 Se 0.6800 0.6423 0.0211
21 Cr 0.2929 0.8888 0.6292
22 Cr 0.4578 0.3621 0.1222
23 Cr 0.7914 0.3913 0.1272
24 Se 0.5955 0.3843 0.2742
25 Se 0.9042 0.1180 0.2260
26 Cr 0.3749 0.1252 0.3749
27 Se 0.8460 0.1324 0.5241
28 Se 0.6536 0.5021 0.5090
29 Se 0.5182 0.1332 0.5199
30 Cr 0.9576 0.8588 0.6216
31 Se 0.6549 0.3662 0.9760
32 Se 0.1829 0.1410 0.5255
33 Cs 0.0000 0.5000 0.5000
34 Se 0.5986 0.2487 0.7402
35 Se 0.4340 0.8879 0.7750
36 Se 0.9824 0.3669 0.9803
37 Se 0.2673 0.3835 0.2704
38 Cs 0.2772 0.2230 0.7768
39 Cr 0.7071 0.1112 0.3708
40 Se 0.3464 0.4979 0.4910
41 Cr 0.5898 0.3207 0.5139
42 Cr 0.4102 0.6793 0.4861
43 Se 0.4014 0.7513 0.2598
44 Se 0.0695 0.6063 0.7268
45 Cr 0.3376 0.5712 0.2641
46 Se 0.3451 0.6338 0.0240
47 Se 0.9305 0.3937 0.2732
48 Se 0.7680 0.8831 0.7696
49 Cr 0.2086 0.6087 0.8728
50 Se 0.4818 0.8668 0.4801
51 Se 0.1540 0.8676 0.4759
52 Se 0.8460 0.0005 0.9887
53 Cr 0.6624 0.4288 0.7359
54 Cs 0.7228 0.7770 0.2232
55 Se 0.1540 0.9995 0.0113



(3)
DFT (PBE) results for a relaxed CsCrSe2 crystal.

DFT total energy in eV/atom: -4.7936
ΔE_f (raw) in meV/atom: -432.1

Lattice parameters (Å, degrees): 9.1972 9.1972 9.1972 26.68 26.68 26.68
Positions (direct):
1 Se 0.5903 0.5903 0.5903
2 Cs 0.0100 0.0100 0.0100
3 Cr 0.5049 0.5049 0.5049
4 Se 0.1459 0.1459 0.1459



(4)
DFT (PBE) results for a relaxed CsCrSe2 crystal.

DFT total energy in eV/atom: -5.0382
ΔE_f (raw) in meV/atom: -676.7

Lattice parameters (Å, degrees): 4.1791 4.1793 7.6842 105.78 74.23 90.00
Positions (direct):
1 Se 0.2770 0.3997 0.7396
2 Cs 0.9413 0.7358 0.4118
3 Cr 0.6911 0.4858 0.9118
4 Se 0.6049 0.0718 0.0840



(5)
DFT (PBE) results for a relaxed CsCrSe2 crystal.

DFT total energy in eV/atom: -5.0623
ΔE_f (raw) in meV/atom: -700.9

Lattice parameters (Å, degrees): 7.1723 10.1988 7.6373 90.00 90.00 90.00
Positions (direct):
1 Cr 0.4273 0.3716 0.5000
2 Cs 0.1080 0.3510 0.0000
3 Cs 0.8920 0.6490 0.5000
4 Se 0.5945 0.1682 0.5000
5 Se 0.0945 0.3318 0.5000
6 Se 0.5000 0.5000 0.7499
7 Cs 0.3920 0.8510 0.5000
8 Se 0.4055 0.8318 0.0000
9 Se 0.0000 0.0000 0.2499
10 Cr 0.9273 0.1284 0.5000
11 Se 0.9055 0.6682 0.0000
12 Cr 0.5727 0.6284 0.0000
13 Cr 0.0727 0.8716 0.0000
14 Se 0.0000 0.0000 0.7499
15 Cs 0.6080 0.1490 0.0000
16 Se 0.5000 0.5000 0.2499



(6)
DFT (PBE) results for a relaxed CsCrSe2 crystal.

DFT total energy in eV/atom: -5.0846
ΔE_f (raw) in meV/atom: -723.1

Lattice parameters (Å, degrees): 7.7943 4.9849 11.7857 90.00 90.00 90.00
Positions (direct):
1 Se 0.3340 0.2500 0.7220
2 Cr 0.5453 0.2500 0.8748
3 Se 0.8340 0.2500 0.7780
4 Cs 0.6191 0.7500 0.6123
5 Cs 0.3809 0.2500 0.3877
6 Cr 0.4547 0.7500 0.1252
7 Se 0.5948 0.7500 0.9348
8 Cr 0.9547 0.7500 0.3748
9 Se 0.9052 0.2500 0.4348
10 Se 0.6660 0.7500 0.2780
11 Cr 0.0453 0.2500 0.6252
12 Se 0.4052 0.2500 0.0652
13 Se 0.0948 0.7500 0.5652
14 Cs 0.1191 0.7500 0.8877
15 Cs 0.8809 0.2500 0.1123
16 Se 0.1660 0.7500 0.2220



(7)
DFT (PBE) results for a relaxed CsCrSe2 crystal.

DFT total energy in eV/atom: -5.0957
ΔE_f (raw) in meV/atom: -734.2

Lattice parameters (Å, degrees): 7.6872 7.6872 7.0571 57.00 57.00 90.00
Positions (direct):
1 Se 0.8750 0.7439 0.7500
2 Cs 0.0000 0.0000 0.0000
3 Se 0.4939 0.1250 0.2500
4 Cr 0.5000 0.5000 0.0000
5 Se 0.3750 0.5061 0.7500
6 Cs 0.7500 0.2500 0.5000
7 Se 0.2561 0.6250 0.2500
8 Cr 0.2500 0.7500 0.5000



(8)
DFT (PBE) results for a relaxed CsCrSe crystal.

DFT total energy in eV/atom: -4.9817
ΔE_f (raw) in meV/atom: -327.8

Lattice parameters (Å, degrees): 4.0617 4.0617 12.1469 90.00 90.00 90.00
Positions (direct):
1 Se 0.0000 0.5000 0.3860
2 Cs 0.0000 0.5000 0.7929
3 Cr 0.5000 0.5000 0.5000
4 Se 0.5000 0.0000 0.6140
5 Cs 0.5000 0.0000 0.2071
6 Cr 0.0000 0.0000 0.5000



(9)
DFT (PBE) results for a relaxed Cs3Cr2Se4 crystal.

DFT total energy in eV/atom: -4.7997
ΔE_f (raw) in meV/atom: -828.0

Lattice parameters (Å, degrees): 12.2791 7.9367 7.9367 55.82 92.56 92.56
Positions (direct):
1 Cr 0.8668 0.5404 0.9534
2 Se 0.9851 0.2891 0.9671
3 Cs 0.5517 0.4538 0.7849
4 Cr 0.6332 0.0466 0.4596
5 Se 0.5149 0.0329 0.7109
6 Cr 0.1332 0.4596 0.0466
7 Cs 0.4483 0.5462 0.2151
8 Cs 0.2500 0.0870 0.9130
9 Cs 0.9483 0.2151 0.5462
10 Se 0.2195 0.2036 0.3768
11 Se 0.7195 0.3768 0.2036
12 Se 0.0149 0.7109 0.0329
13 Cs 0.0517 0.7849 0.4538
14 Cr 0.3668 0.9534 0.5404
15 Se 0.4851 0.9671 0.2891
16 Se 0.7805 0.7964 0.6232
17 Se 0.2805 0.6232 0.7964
18 Cs 0.7500 0.9130 0.0870



(10)
DFT (PBE) results for a relaxed Cs2CrSe crystal.

DFT total energy in eV/atom: -3.5806
ΔE_f (raw) in meV/atom: 123.2

Lattice parameters (Å, degrees): 6.1374 6.1374 6.1374 60.00 60.00 60.00
Positions (direct):
1 Cs 0.7500 0.7500 0.7500
2 Cr 0.0000 0.0000 0.0000
3 Cs 0.2500 0.2500 0.2500
4 Se 0.5000 0.5000 0.5000



(11)
DFT (PBE) results for a relaxed CsCrSe2 crystal.

DFT total energy in eV/atom: -5.0751
ΔE_f (raw) in meV/atom: -713.6

Lattice parameters (Å, degrees): 8.7986 9.7644 3.6753 79.73 90.78 89.21
Positions (direct):
1 Cr 0.8253 0.2245 0.5130
2 Se 0.7551 0.4765 0.4049
3 Se 0.6778 0.1117 0.0603
4 Se 0.1144 0.5733 0.3725
5 Cr 0.9577 0.4685 0.9172
6 Se 0.0285 0.2205 0.0260
7 Cs 0.9105 0.8513 0.7107
8 Cs 0.4059 0.3849 0.9678



(12)
DFT (PBE) results for a relaxed CsCrSiSe4 crystal.

DFT total energy in eV/atom: -4.8828
ΔE_f (raw) in meV/atom: -620.2

Lattice parameters (Å, degrees): 6.4381 7.0697 10.5971 90.00 121.27 90.00
Positions (direct):
1 Se 0.9362 0.5102 0.3287
2 Se 0.0638 0.4898 0.6713
3 Cs 0.3345 0.2500 0.0612
4 Cr 0.7884 0.7500 0.4525
5 Si 0.7941 0.2500 0.6417
6 Cs 0.6655 0.7500 0.9388
7 Se 0.9362 0.9898 0.3287
8 Se 0.3566 0.7500 0.2060
9 Se 0.0638 0.0102 0.6713
10 Se 0.5508 0.7500 0.5795
11 Cr 0.2116 0.2500 0.5475
12 Se 0.4492 0.2500 0.4205
13 Si 0.2059 0.7500 0.3583
14 Se 0.6434 0.2500 0.7940



> Among the records above, which one has the highest DFT total energy?

Cs2CrSe